DFT (GGA-PBE) results for MgTaCu2 after structural relaxation.

a = 5.118 Å, b = 5.118 Å, c = 4.792 Å
α = 74.54°, β = 74.54°, γ = 30.44°
Fractional positions:
Mg: 0.517 0.517 0.438
Cu: 0.276 0.276 0.291
Cu: 0.979 0.979 0.957
Ta: 0.728 0.728 0.813

Results
V = 61.1 Å³ per cell
Energy relative to the elements = 0.131 eV/atom
Total magnetization = 0.0 μB/f.u.
Space-group type = Cm